one.
Below is crystalline RbP2HCl at its relaxed geometry, with properties calculated at the GGA-PBE level.

CIF file:
```
data_RbP2HCl
_chemical_formula_sum 'Rb1 P2 H1 Cl1'
_space_group_name_H-M_alt 'P 1'
_space_group_IT_number 1
_space_group_name_Hall 'P 1'
_cell_length_a 4.013
_cell_length_b 4.013
_cell_length_c 7.868
_cell_angle_alpha 90.00
_cell_angle_beta 90.00
_cell_angle_gamma 90.00
loop_
_atom_site_label
_atom_site_type_symbol
_atom_site_fract_x
_atom_site_fract_y
_atom_site_fract_z
P1 P 0.000 0.500 0.000
P2 P 0.500 0.000 0.000
H1 H 0.000 0.000 0.000
Rb1 Rb 0.500 0.500 0.500
Cl1 Cl 0.000 0.000 0.500
```

Values from the calculation:
Symmetry: P4/mmm (123)
M_tot: 0.9 Bohr magnetons per cell

two.
Below is crystalline RbP2HCl at its relaxed geometry, with properties calculated at the GGA-PBE level.

CIF file:
```
data_RbP2HCl
_chemical_formula_sum 'Rb1 P2 H1 Cl1'
_space_group_name_H-M_alt 'P 1'
_space_group_IT_number 1
_space_group_name_Hall 'P 1'
_cell_length_a 7.950
_cell_length_b 6.027
_cell_length_c 7.950
_cell_angle_alpha 90.00
_cell_angle_beta 90.00
_cell_angle_gamma 90.00
loop_
_atom_site_label
_atom_site_type_symbol
_atom_site_fract_x
_atom_site_fract_y
_atom_site_fract_z
P1 P 0.000 0.000 0.500
P2 P 0.500 0.000 0.000
H1 H 0.500 0.500 0.500
Rb1 Rb 0.000 0.000 0.000
Cl1 Cl 0.000 0.500 0.000
```

Values from the calculation:
Symmetry: P4/mmm (123)
M_tot: 7.0 Bohr magnetons per cell

Energy ordering: one at the bottom, the next structure 1.034 eV/atom above.

one.
Below is crystalline P2HRuCl at its relaxed geometry, with properties calculated at the GGA-PBE level.

CIF file:
```
data_P2HRuCl
_chemical_formula_sum 'P2 H1 Ru1 Cl1'
_space_group_name_H-M_alt 'P 1'
_space_group_IT_number 1
_space_group_name_Hall 'P 1'
_cell_length_a 3.684
_cell_length_b 3.684
_cell_length_c 4.710
_cell_angle_alpha 90.00
_cell_angle_beta 90.00
_cell_angle_gamma 90.00
loop_
_atom_site_label
_atom_site_type_symbol
_atom_site_fract_x
_atom_site_fract_y
_atom_site_fract_z
Ru1 Ru 0.500 0.500 0.500
H1 H 0.000 0.000 0.000
P1 P 0.000 0.500 0.000
P2 P 0.500 0.000 0.000
Cl1 Cl 0.000 0.000 0.500
```

Values from the calculation:
Symmetry: P4/mmm (123)
M_tot: 0.0 Bohr magnetons per cell

two.
Below is crystalline P2HRuCl at its relaxed geometry, with properties calculated at the GGA-PBE level.

CIF file:
```
data_P2HRuCl
_chemical_formula_sum 'P2 H1 Ru1 Cl1'
_space_group_name_H-M_alt 'P 1'
_space_group_IT_number 1
_space_group_name_Hall 'P 1'
_cell_length_a 4.476
_cell_length_b 4.476
_cell_length_c 5.249
_cell_angle_alpha 90.00
_cell_angle_beta 90.00
_cell_angle_gamma 90.00
loop_
_atom_site_label
_atom_site_type_symbol
_atom_site_fract_x
_atom_site_fract_y
_atom_site_fract_z
Ru1 Ru 0.000 0.000 0.000
H1 H 0.500 0.500 0.500
P1 P 0.000 0.500 0.000
P2 P 0.500 0.000 0.000
Cl1 Cl 0.000 0.000 0.500
```

Values from the calculation:
Symmetry: P4/mmm (123)
M_tot: 0.9 Bohr magnetons per cell

Energy ordering: two at the bottom, the next structure 0.085 eV/atom above.

one.
Below is crystalline SbP2HCl at its relaxed geometry, with properties calculated at the GGA-PBE level.

CIF file:
```
data_SbP2HCl
_chemical_formula_sum 'Sb1 P2 H1 Cl1'
_space_group_name_H-M_alt 'P 1'
_space_group_IT_number 1
_space_group_name_Hall 'P 1'
_cell_length_a 5.230
_cell_length_b 5.230
_cell_length_c 5.457
_cell_angle_alpha 90.00
_cell_angle_beta 90.00
_cell_angle_gamma 90.00
loop_
_atom_site_label
_atom_site_type_symbol
_atom_site_fract_x
_atom_site_fract_y
_atom_site_fract_z
Sb1 Sb 0.000 0.000 0.000
H1 H 0.500 0.500 0.500
P1 P 0.000 0.500 0.000
P2 P 0.500 0.000 0.000
Cl1 Cl 0.000 0.000 0.500
```

Values from the calculation:
Symmetry: P4/mmm (123)
M_tot: 3.0 Bohr magnetons per cell

two.
Below is crystalline SbP2HCl at its relaxed geometry, with properties calculated at the GGA-PBE level.

CIF file:
```
data_SbP2HCl
_chemical_formula_sum 'Sb1 P2 H1 Cl1'
_space_group_name_H-M_alt 'P 1'
_space_group_IT_number 1
_space_group_name_Hall 'P 1'
_cell_length_a 3.939
_cell_length_b 3.939
_cell_length_c 5.290
_cell_angle_alpha 90.00
_cell_angle_beta 90.00
_cell_angle_gamma 90.00
loop_
_atom_site_label
_atom_site_type_symbol
_atom_site_fract_x
_atom_site_fract_y
_atom_site_fract_z
Sb1 Sb 0.500 0.500 0.500
H1 H 0.000 0.000 0.000
P1 P 0.000 0.500 0.000
P2 P 0.500 0.000 0.000
Cl1 Cl 0.000 0.000 0.500
```

Values from the calculation:
Symmetry: P4/mmm (123)
M_tot: 0.0 Bohr magnetons per cell

Energy ordering: two at the bottom, the next structure 0.528 eV/atom above.

one.
Below is crystalline SbPHCl2 at its relaxed geometry, with properties calculated at the GGA-PBE level.

CIF file:
```
data_SbPHCl2
_chemical_formula_sum 'Sb1 P1 H1 Cl2'
_space_group_name_H-M_alt 'P 1'
_space_group_IT_number 1
_space_group_name_Hall 'P 1'
_cell_length_a 5.368
_cell_length_b 5.368
_cell_length_c 5.373
_cell_angle_alpha 90.00
_cell_angle_beta 90.00
_cell_angle_gamma 90.00
loop_
_atom_site_label
_atom_site_type_symbol
_atom_site_fract_x
_atom_site_fract_y
_atom_site_fract_z
Sb1 Sb 0.000 0.000 0.000
H1 H 0.500 0.500 0.500
P1 P 0.000 0.000 0.500
Cl1 Cl 0.000 0.500 0.000
Cl2 Cl 0.500 0.000 0.000
```

Values from the calculation:
Symmetry: P4/mmm (123)
M_tot: 2.7 Bohr magnetons per cell

two.
Below is crystalline SbPHCl2 at its relaxed geometry, with properties calculated at the GGA-PBE level.

CIF file:
```
data_SbPHCl2
_chemical_formula_sum 'Sb1 P1 H1 Cl2'
_space_group_name_H-M_alt 'P 1'
_space_group_IT_number 1
_space_group_name_Hall 'P 1'
_cell_length_a 4.260
_cell_length_b 4.260
_cell_length_c 4.702
_cell_angle_alpha 90.00
_cell_angle_beta 90.00
_cell_angle_gamma 90.00
loop_
_atom_site_label
_atom_site_type_symbol
_atom_site_fract_x
_atom_site_fract_y
_atom_site_fract_z
Sb1 Sb 0.500 0.500 0.500
H1 H 0.000 0.000 0.000
P1 P 0.000 0.000 0.500
Cl1 Cl 0.000 0.500 0.000
Cl2 Cl 0.500 0.000 0.000
```

Values from the calculation:
Symmetry: P4/mmm (123)
M_tot: 0.0 Bohr magnetons per cell

three.
Below is crystalline SbPHCl2 at its relaxed geometry, with properties calculated at the GGA-PBE level.

CIF file:
```
data_SbPHCl2
_chemical_formula_sum 'Sb1 P1 H1 Cl2'
_space_group_name_H-M_alt 'P 1'
_space_group_IT_number 1
_space_group_name_Hall 'P 1'
_cell_length_a 4.737
_cell_length_b 5.556
_cell_length_c 4.737
_cell_angle_alpha 90.00
_cell_angle_beta 90.00
_cell_angle_gamma 90.00
loop_
_atom_site_label
_atom_site_type_symbol
_atom_site_fract_x
_atom_site_fract_y
_atom_site_fract_z
Sb1 Sb 0.000 0.500 0.000
H1 H 0.500 0.500 0.500
P1 P 0.000 0.000 0.000
Cl1 Cl 0.000 0.000 0.500
Cl2 Cl 0.500 0.000 0.000
```

Values from the calculation:
Symmetry: P4/mmm (123)
M_tot: 0.7 Bohr magnetons per cell

Energy ordering: one at the bottom, the next structure 0.041 eV/atom above.